## HfGaSi (PBE-GGA)

Data for a relaxed structure of HfGaSi.

Cell: 9.650 3.695 6.251 Å, 90.00 103.62 90.00°
Space group Cm (No. 8)
Asymmetric unit:
Hf (0.000, 0.000, 0.000) x2
Hf (0.227, 0.000, 0.675) x2
Ga (0.126, 0.500, 0.342) x2
Ga (0.342, 0.000, 0.268) x2
Si (0.006, 0.500, 0.678) x2
Si (0.217, 0.500, 0.986) x2

Output
For the formation energy from raw total energies, the calculation gives -393 meV per atom. The density of states at the Fermi level comes out at 3.53 states/eV per cell. The magnetization is 0.00 μB/cell. The polymorph energy (0 for the lowest one) is 121.0 meV/atom.